Sr3Cd4Pd2 after structural relaxation, computed with PBE-GGA.

It has space group C2/m (No. 12), with a = 11.2876 Å, b = 5.0251 Å, c = 9.3519 Å, α = 90.00°, β = 110.19° and γ = 90.00°. The inequivalent atoms are Sr at (0.0000, 0.0000, 0.0000), Sr at (0.1396, 0.5000, 0.6832), Cd at (0.1036, 0.0000, 0.4216), Cd at (0.2194, 0.5000, 0.0681) and Pd at (0.1508, 0.5000, 0.3218).

The calculation puts the total energy at -2.551 eV per atom. The calculation puts the total magnetic moment at 0.00 μB/cell. The calculation puts the calculated formation energy at -0.430 eV per atom.

=====

Sr12Cd3Pd5 after structural relaxation, computed with PBE-GGA.

It has space group Ia-3d (No. 230), with a = 18.7843 Å, b = 18.7843 Å, c = 18.7843 Å, α = 90.00°, β = 90.00° and γ = 90.00°. The inequivalent atoms are Sr at (0.0290, 0.0605, 0.6480), Cd at (0.0000, 0.2500, 0.1250), Pd at (0.0000, 0.0000, 0.0000) and Pd at (0.0000, 0.2500, 0.3750).

The calculation puts the total energy at -2.673 eV per atom. The calculation puts the total magnetic moment at 0.00 μB/cell. The calculation puts the calculated formation energy at -0.228 eV per atom.

=====

SrCd5Pd2 after structural relaxation, computed with PBE-GGA.

It has space group Immm (No. 71), with a = 4.1547 Å, b = 8.5019 Å, c = 10.5636 Å, α = 90.00°, β = 90.00° and γ = 90.00°. The inequivalent atoms are Sr at (0.0000, 0.0000, 0.0000), Cd at (0.0000, 0.1913, 0.3471), Cd at (0.0000, 0.5000, 0.0000) and Pd at (0.0000, 0.5000, 0.2611).

The calculation puts the total energy at -2.435 eV per atom. The calculation puts the total magnetic moment at 0.00 μB/cell. The calculation puts the calculated formation energy at -0.355 eV per atom.

=====

Sr2Cd3Pd after structural relaxation, computed with PBE-GGA.

It has space group Pmm2 (No. 25), with a = 4.2115 Å, b = 4.8958 Å, c = 8.4518 Å, α = 90.00°, β = 90.00° and γ = 90.00°. The inequivalent atoms are Sr at (0.0000, 0.0000, 0.0000), Sr at (0.0000, 0.5000, 0.4535), Cd at (0.5000, 0.0000, 0.6275), Cd at (0.5000, 0.5000, 0.1451), Cd at (0.5000, 0.5000, 0.8038) and Pd at (0.5000, 0.0000, 0.3010).

The calculation puts the total energy at -2.293 eV per atom. The calculation puts the total magnetic moment at 0.00 μB/cell. The calculation puts the calculated formation energy at -0.410 eV per atom.

=====

SrCd4Pd6 after structural relaxation, computed with PBE-GGA.

It has space group I-42m (No. 121), with a = 6.7624 Å, b = 6.7624 Å, c = 10.3946 Å, α = 90.00°, β = 90.00° and γ = 90.00°. The inequivalent atoms are Sr at (0.0000, 0.0000, 0.0000), Cd at (0.2117, 0.2117, 0.3097), Pd at (0.0000, 0.5000, 0.0000) and Pd at (0.1580, 0.1580, 0.5845).

The calculation puts the total energy at -3.543 eV per atom. The calculation puts the total magnetic moment at 0.00 μB/cell. The calculation puts the calculated formation energy at -0.224 eV per atom.

=====

SrCdPd3 after structural relaxation, computed with PBE-GGA.

It has space group I4mm (No. 107), with a = 4.2182 Å, b = 4.2182 Å, c = 12.2978 Å, α = 90.00°, β = 90.00° and γ = 90.00°. The inequivalent atoms are Sr at (0.0000, 0.0000, 0.0000), Cd at (0.0000, 0.0000, 0.6478), Pd at (0.0000, 0.0000, 0.4308) and Pd at (0.0000, 0.5000, 0.2892).

The calculation puts the total energy at -4.017 eV per atom. The calculation puts the total magnetic moment at 0.00 μB/cell. The calculation puts the calculated formation energy at -0.382 eV per atom.

=====

SrCd8Pd2 after structural relaxation, computed with PBE-GGA.

It has space group P4/mmm (No. 123), with a = 6.0558 Å, b = 6.0558 Å, c = 9.0446 Å, α = 90.00°, β = 90.00° and γ = 90.00°. The inequivalent atoms are Sr at (0.0000, 0.0000, 0.0000), Cd at (0.2531, 0.2531, 0.3032) and Pd at (0.0000, 0.5000, 0.5000).

The calculation puts the total energy at -1.790 eV per atom. The calculation puts the total magnetic moment at 0.00 μB/cell. The calculation puts the calculated formation energy at -0.027 eV per atom.

=====

SrCdPd2 after structural relaxation, computed with PBE-GGA.

It has space group P6_3/mmc (No. 194), with a = 4.6826 Å, b = 4.6826 Å, c = 9.9668 Å, α = 90.00°, β = 90.00° and γ = 120.00°. The inequivalent atoms are Sr at (0.3333, 0.6667, 0.2500), Cd at (0.0000, 0.0000, 0.0000) and Pd at (0.3333, 0.6667, 0.5586).

The calculation puts the total energy at -3.789 eV per atom. The calculation puts the total magnetic moment at 0.00 μB/cell. The calculation puts the calculated formation energy at -0.543 eV per atom.